4
Lattice="4.878 0.000 0.000 0.000 2.024 5.612 0.000 -2.024 5.612" Properties=species:S:1:pos:R:3 comment="AcNdPdAu, optimized geometry, DFT PBE" n_ef_per_ev_cell=3.2 delta_e_f_ev_per_atom=-0.789 total_energy_ev_per_atom=-5.125 pbc="T T T"
Ac 0.000 0.000 0.000
Nd 2.439 0.000 3.077
Pd 0.000 0.000 8.139
Au 2.439 0.000 6.258